Computed, not measured: a relaxed Na4La3TlO8 crystal at the PBE-GGA level of DFT.

```
Na4La3TlO8
1.0
7.201 0.000 0.000
0.000 7.024 -0.127
-3.601 -3.601 5.096
Na La Tl O
4 3 1 8
Cartesian
3.601 0.000 0.000 Na
1.800 -1.801 2.548 Na
0.000 0.000 0.000 Na
-1.800 -1.801 2.548 Na
3.601 3.512 -0.064 La
1.800 1.711 2.484 La
-1.800 1.711 2.484 La
0.000 3.512 -0.064 Tl
-1.824 1.549 4.933 O
0.000 3.371 2.359 O
0.000 0.129 2.641 O
1.824 1.549 4.933 O
1.777 1.873 0.036 O
3.601 3.294 2.328 O
3.601 0.051 2.610 O
5.424 1.873 0.036 O
```

Formation energy from raw total energies (meV per atom): -2223
Density (g cm⁻³): 5.49